# 1
Here is crystalline TlTcO3 at its relaxed geometry from Alexandria. Energies are from GGA-PBE.

a = 14.1897 Å, b = 5.6350 Å, c = 5.6350 Å
α = 137.71°, β = 141.35°, γ = 38.65°
Element x y z (fractional)
O1 0.2973 0.8363 0.1637
O2 0.9613 0.3601 0.6399
O3 0.0387 0.6399 0.3601
Tl1 0.3544 0.0342 0.9658
Tc1 0.9284 0.9345 0.0655
O4 0.7027 0.1637 0.8363
Tl2 0.6456 0.9658 0.0342
Tc2 0.0716 0.0655 0.9345
O5 0.8619 0.2048 0.7952
O6 0.1381 0.7952 0.2048

Computed properties:
mass density = 7.02 g/cm3
energy relative to the elements, uncorrected = -1.12 eV per atom
SG = C2/m, No. 12
total magnetic moment = 0.00 Bohr magnetons per cell
uncorrected energy = -33.2 eV/f.u.

# 2
Here is crystalline TlTcO3 at its relaxed geometry from Alexandria. Energies are from GGA-PBE.

a = 7.8028 Å, b = 7.8028 Å, c = 7.8028 Å
α = 40.38°, β = 40.38°, γ = 40.38°
Each line ends with the local moment (μB).
Element x y z (fractional)
Tl1 0.6168 0.6168 0.6168  0.01
O1 0.8448 0.4497 0.0537  0.07
O2 0.0537 0.8448 0.4497  0.05
O3 0.1552 0.5503 0.9463  0.07
Tl2 0.3832 0.3832 0.3832  0.01
Tc1 0.8335 0.8335 0.8335  1.46
O4 0.4497 0.0537 0.8448  0.05
O5 0.5503 0.9463 0.1552  0.05
O6 0.9463 0.1552 0.5503  0.05
Tc2 0.1665 0.1665 0.1665  1.46

Computed properties:
mass density = 6.47 g/cm3
energy relative to the elements, uncorrected = -1.17 eV per atom
SG = R-3, No. 148
total magnetic moment = 3.59 Bohr magnetons per cell
uncorrected energy = -33.4 eV/f.u.

# 3
Here is crystalline TlTcO3 at its relaxed geometry from Alexandria. Energies are from GGA-PBE.

a = 7.9158 Å, b = 7.9158 Å, c = 5.3227 Å
α = 90.00°, β = 90.00°, γ = 134.81°
Element x y z (fractional)
Tl1 0.6757 0.3243 0.7500
O1 0.0000 0.0000 0.0000
O2 0.3966 0.0708 0.2500
Tc1 0.0886 0.9114 0.2500
O3 0.9292 0.6034 0.2500
O4 0.6034 0.9292 0.7500
Tc2 0.9114 0.0886 0.7500
O5 0.0000 0.0000 0.5000
Tl2 0.3243 0.6757 0.2500
O6 0.0708 0.3966 0.7500

Computed properties:
mass density = 4.92 g/cm3
energy relative to the elements, uncorrected = -1.06 eV per atom
SG = Cmcm, No. 63
total magnetic moment = 0.00 Bohr magnetons per cell
uncorrected energy = -32.9 eV/f.u.